Compound: RbCoRu
Source: the Alexandria database
Functional: GGA-PBE
Structure: optimized geometry

The calculation puts the density of states at the Fermi level at 1.5973 states/eV per atom. The calculation puts the magnetic moment at 0.00 μB/f.u. As for the formation energy: 0.735 eV per atom. The value obtained for the energy above the lowest structure with this stoichiometry is 103 meV/atom.

Lattice parameters (Å, degrees): 6.4230 5.6584 9.6356 90.00 91.17 90.00
Space group C2/m (No. 12)
Asymmetric unit:
1 Rb 0.2480 0.0000 0.3006
2 Co 0.0000 0.2102 0.0000
3 Ru 0.2064 0.5000 0.0900

***

Compound: CrTc2W
Source: the Alexandria database
Functional: GGA-PBE
Structure: optimized geometry

The calculation puts the density of states at the Fermi level at 0.7961 states/eV per atom. The calculation puts the magnetic moment at 0.00 μB/f.u. As for the formation energy: 0.117 eV per atom.

Lattice parameters (Å, degrees): 3.0229 4.3937 8.6214 90.00 90.00 90.00
Space group Immm (No. 71)
Asymmetric unit:
1 Cr 0.0000 0.0000 0.0000
2 Tc 0.0000 0.5000 0.2658
3 W 0.0000 0.0000 0.5000

***

Compound: Ce9PuSn2
Source: the Alexandria database
Functional: GGA-PBE
Structure: optimized geometry

The calculation puts the density of states at the Fermi level at 3.0691 states/eV per atom. The calculation puts the magnetic moment at 8.97 μB/f.u. As for the formation energy: -0.132 eV per atom.

Lattice parameters (Å, degrees): 5.5240 5.5240 10.4669 90.00 90.00 90.00
Space group P4/mmm (No. 123)
Asymmetric unit:
1 Ce 0.0000 0.0000 0.0000
2 Ce 0.0000 0.0000 0.3439
3 Ce 0.0000 0.5000 0.1608
4 Ce 0.0000 0.5000 0.5000
5 Pu 0.5000 0.5000 0.0000
6 Sn 0.5000 0.5000 0.3233

***

Compound: NbIr3F
Source: the Alexandria database
Functional: GGA-PBE
Structure: optimized geometry

The value obtained for the formation energy without anion corrections is 1711.3 meV/atom. The calculation puts the density of states at the Fermi level at 2.2480 states/eV per atom. The calculation puts the magnetic moment at 1.82 μB/f.u. The value obtained for the energy above the lowest structure with this stoichiometry is 840 meV/atom.

Lattice parameters (Å, degrees): 4.8110 4.8110 4.8110 90.00 90.00 90.00
Space group Pm-3m (No. 221)
Asymmetric unit:
1 Nb 0.0000 0.0000 0.0000
2 Ir 0.0000 0.0000 0.5000
3 F 0.5000 0.5000 0.5000

***

Compound: Al2Se3
Source: the Alexandria database
Functional: GGA-PBE
Structure: optimized geometry

The value obtained for the formation energy without anion corrections is -777.9 meV/atom. The calculation puts the magnetic moment at 0.00 μB/f.u.

Lattice parameters (Å, degrees): 6.7433 6.7433 20.7117 90.00 90.00 120.00
Space group R3 (No. 146, hexagonal axes)
Asymmetric unit:
1 Al 0.0000 0.0000 0.0000
2 Al 0.0126 0.6768 0.2296
3 Se 0.0000 0.0000 0.1740
4 Se 0.0000 0.0000 0.5067
5 Se 0.0000 0.0000 0.8497
6 Se 0.0005 0.6536 0.0078

***

Compound: PrDy2Y
Source: the Alexandria database
Functional: GGA-PBE
Structure: optimized geometry

The calculation puts the density of states at the Fermi level at 2.1834 states/eV per atom. The calculation puts the magnetic moment at 0.01 μB/f.u. As for the formation energy: 0.132 eV per atom. The value obtained for the energy above the lowest structure with this stoichiometry is 124 meV/atom.

Lattice parameters (Å, degrees): 8.1017 8.1017 8.1017 90.00 90.00 90.00
Space group Fm-3m (No. 225)
Asymmetric unit:
1 Pr 0.0000 0.0000 0.0000
2 Dy 0.2500 0.2500 0.2500
3 Y 0.0000 0.0000 0.5000

***

Compound: SnBRh2
Source: the Alexandria database
Functional: GGA-PBE
Structure: optimized geometry

The calculation puts the density of states at the Fermi level at 0.3910 states/eV per atom. The calculation puts the magnetic moment at 0.00 μB/f.u. As for the formation energy: 0.005 eV per atom. The value obtained for the energy above the lowest structure with this stoichiometry is 358 meV/atom.

Lattice parameters (Å, degrees): 5.4769 5.4769 9.4830 90.00 90.00 90.00
Space group I-42d (No. 122)
Asymmetric unit:
1 Sn 0.0000 0.0000 0.0000
2 B 0.0000 0.0000 0.5000
3 Rh 0.1509 0.2500 0.6250

***

Compound: MgBe4Re
Source: the Alexandria database
Functional: GGA-PBE
Structure: optimized geometry

The calculation puts the density of states at the Fermi level at 0.3205 states/eV per atom. The calculation puts the magnetic moment at 0.00 μB/f.u. As for the formation energy: 0.017 eV per atom.

Lattice parameters (Å, degrees): 6.3117 6.3117 6.3117 90.00 90.00 90.00
Space group F-43m (No. 216)
Asymmetric unit:
1 Mg 0.0000 0.0000 0.0000
2 Be 0.1216 0.1216 0.3784
3 Re 0.2500 0.2500 0.7500

***

Compound: LiZrBr
Source: the Alexandria database
Functional: GGA-PBE
Structure: optimized geometry

The value obtained for the formation energy without anion corrections is -668.0 meV/atom. The calculation puts the density of states at the Fermi level at 0.7216 states/eV per atom. The calculation puts the magnetic moment at 0.01 μB/f.u. The value obtained for the energy above the lowest structure with this stoichiometry is 78 meV/atom.

Lattice parameters (Å, degrees): 3.4697 3.4697 37.2536 90.00 90.00 120.00
Space group R3m (No. 160, hexagonal axes)
Asymmetric unit:
1 Li 0.0000 0.0000 0.0000
2 Li 0.0000 0.0000 0.2433
3 Zr 0.0000 0.0000 0.1081
4 Zr 0.0000 0.0000 0.5055
5 Br 0.0000 0.0000 0.3835
6 Br 0.0000 0.0000 0.6249

***

Compound: LiReSn
Source: the Alexandria database
Functional: GGA-PBE
Structure: optimized geometry

The calculation puts the density of states at the Fermi level at 0.3383 states/eV per atom. The calculation puts the magnetic moment at 0.00 μB/f.u. As for the formation energy: 0.098 eV per atom.

Lattice parameters (Å, degrees): 3.0509 4.9479 7.6927 104.92 101.29 90.25
Space group P-1 (No. 2)
Asymmetric unit:
1 Li 0.0779 0.2950 0.1547
2 Re 0.2528 0.6978 0.5002
3 Sn 0.3918 0.1774 0.7890

***

Compound: Sc2TiInN
Source: the Alexandria database
Functional: GGA-PBE
Structure: optimized geometry

The value obtained for the formation energy without anion corrections is -1012.6 meV/atom. The calculation puts the density of states at the Fermi level at 0.6672 states/eV per atom. The calculation puts the magnetic moment at 0.01 μB/f.u.

Lattice parameters (Å, degrees): 4.4677 4.4677 4.2187 90.00 90.00 90.00
Space group P4/mmm (No. 123)
Asymmetric unit:
1 Sc 0.0000 0.5000 0.0000
2 Ti 0.0000 0.0000 0.5000
3 In 0.5000 0.5000 0.5000
4 N 0.0000 0.0000 0.0000

***

Compound: Pr7Nd2Y2
Source: the Alexandria database
Functional: GGA-PBE
Structure: optimized geometry

The calculation puts the density of states at the Fermi level at 1.8202 states/eV per atom. The calculation puts the magnetic moment at 0.00 μB/f.u. As for the formation energy: 0.029 eV per atom. The value obtained for the energy above the lowest structure with this stoichiometry is 0 meV/atom.

Lattice parameters (Å, degrees): 16.3441 6.4420 16.0244 90.00 111.38 90.00
Space group C2/c (No. 15)
Asymmetric unit:
1 Pr 0.0000 0.1692 0.2500
2 Pr 0.0472 0.3335 0.6594
3 Pr 0.0928 0.1664 0.0696
4 Pr 0.1822 0.1648 0.8857
5 Nd 0.1382 0.3337 0.4782
6 Y 0.2276 0.3341 0.2952